[1]
Compound: Ce3TlIr2
Source: Alexandria via LeMat-Bulk
Functional: PBE-GGA
Structure: optimized geometry

For the total moment, the calculation gives 1.33 μB/f.u. The crystal system is orthorhombic. For the formation energy, the calculation gives -525 meV/atom. Its density of states at the Fermi level is 2.294 states/eV/atom.

It has space group Pmma (No. 51), with a = 7.289 Å, b = 3.983 Å, c = 10.642 Å, α = 90.00°, β = 90.00° and γ = 90.00°. Symmetry generates all atoms from Ce at (0.000, 0.000, 0.000), Ce at (0.001, 0.500, 0.299), Tl at (0.250, 0.000, 0.496), Ir at (0.250, 0.000, 0.777) and Ir at (0.250, 0.500, 0.096).

[2]
Compound: Ce4Tl5Ir2
Source: Alexandria via LeMat-Bulk
Functional: PBE-GGA
Structure: optimized geometry

For the total moment, the calculation gives 1.98 μB/f.u. The crystal system is monoclinic. For the formation energy, the calculation gives -429 meV/atom. Its density of states at the Fermi level is 1.870 states/eV/atom.

It has space group P2/m (No. 10), with a = 8.088 Å, b = 3.701 Å, c = 9.824 Å, α = 90.00°, β = 94.32° and γ = 90.00°. Symmetry generates all atoms from Ce at (0.189, 0.000, 0.341), Ce at (0.207, 0.000, 0.935), Tl at (0.156, 0.500, 0.638), Tl at (0.463, 0.500, 0.165), Tl at (0.500, 0.500, 0.500) and Ir at (0.085, 0.500, 0.139).

[3]
Compound: Ce4TlIr2
Source: Alexandria via LeMat-Bulk
Functional: PBE-GGA
Structure: optimized geometry

For the total moment, the calculation gives 2.78 μB/f.u. The crystal system is trigonal. For the formation energy, the calculation gives -467 meV/atom. Its density of states at the Fermi level is 3.145 states/eV/atom.

It has space group R-3m (No. 166, hexagonal axes), with a = 4.1473 Å, b = 4.1473 Å, c = 39.4091 Å, α = 90.00°, β = 90.00° and γ = 120.00°. Symmetry generates all atoms from Ce at (0.0000, 0.0000, 0.1053), Ce at (0.0000, 0.0000, 0.3036), Tl at (0.0000, 0.0000, 0.5000) and Ir at (0.0000, 0.0000, 0.3991).

Which of these has the lowest total moment?
Ce3TlIr2

Among the records above, which one has the highest total moment?
Ce4TlIr2